[1]
A geometry-optimized CoSi2Sb structure. Source: the Alexandria database, functional PBE-GGA.

abc: 4.531 4.531 14.629
angles: 90.00 90.00 90.00
Space group I-42d (No. 122)
One atom of each set of equivalent atoms:
Co 0.000 0.000 0.000
Si 0.121 0.250 0.125
Sb 0.000 0.000 0.500

Size of the total moment in μB per atom: 0.000
ΔE_f (raw) in meV/atom: 187
DOS at the Fermi energy in states/eV/f.u.: 0.71

---

[2]
A geometry-optimized Te4AsPb structure. Source: the Alexandria database, functional PBE-GGA.

abc: 8.949 8.949 8.949
angles: 90.00 90.00 90.00
Space group F-43m (No. 216)
One atom of each set of equivalent atoms:
Te 0.124 0.124 0.124
As 0.250 0.250 0.750
Pb 0.000 0.000 0.500

Size of the total moment in μB per atom: 0.000
ΔE_f (raw) in meV/atom: 512
DOS at the Fermi energy in states/eV/f.u.: 3.67